(1)
First-principles (PBE-GGA) data for crystalline Nb4RuI2 at its relaxed geometry, as listed in Alexandria.

Results
Formation energy from raw total energies   105.6 kJ/mol of atoms
Symmetry   I4/mmm (139)

Cell lengths 7.718, 7.718, 7.718 Å; angles 142.60, 142.60, 53.93 degrees
Fractional positions:
Nb 0.000 0.500 0.500
Nb 0.177 0.177 0.000
Nb 0.500 0.000 0.500
Nb 0.823 0.823 0.000
Ru 0.000 0.000 0.000
I 0.378 0.378 0.000
I 0.622 0.622 0.000

(2)
First-principles (PBE-GGA) data for crystalline TbY4Al4 at its relaxed geometry, as listed in Alexandria.

Results
Symmetry   P4_2/n (86)
Energy of formation   -3.96 kcal/mol of atoms

Cell lengths 8.840, 8.840, 5.811 Å; angles 90.00, 90.00, 90.00 degrees
Fractional positions:
Tb 0.250 0.250 0.250
Tb 0.750 0.750 0.750
Y 0.083 0.824 0.636
Y 0.176 0.583 0.136
Y 0.324 0.917 0.136
Y 0.417 0.676 0.636
Y 0.583 0.324 0.364
Y 0.676 0.083 0.864
Y 0.824 0.417 0.864
Y 0.917 0.176 0.364
Al 0.055 0.156 0.847
Al 0.156 0.445 0.653
Al 0.344 0.055 0.653
Al 0.445 0.344 0.847
Al 0.555 0.656 0.153
Al 0.656 0.945 0.347
Al 0.844 0.555 0.347
Al 0.945 0.844 0.153

(3)
First-principles (PBE-GGA) data for crystalline Pm4Pr5Sm3 at its relaxed geometry, as listed in Alexandria.

Results
Symmetry   C2/m (12)
Energy of formation   4.66 kcal/mol of atoms
Polymorph energy (0 for the lowest one)   189 meV/atom

Cell lengths 8.791, 8.791, 9.459 Å; angles 114.18, 114.18, 40.60 degrees
Fractional positions:
Pm 0.082 0.082 0.439
Pm 0.210 0.210 0.876
Pm 0.790 0.790 0.124
Pm 0.918 0.918 0.561
Pr 0.208 0.208 0.225
Pr 0.426 0.426 0.301
Pr 0.500 0.500 0.000
Pr 0.574 0.574 0.699
Pr 0.792 0.792 0.775
Sm 0.000 0.000 0.000
Sm 0.326 0.326 0.610
Sm 0.674 0.674 0.390

(4)
First-principles (PBE-GGA) data for crystalline In2WSe at its relaxed geometry, as listed in Alexandria.

Results
Formation energy from raw total energies   80.6 kJ/mol of atoms
Symmetry   I-42d (122)

Cell lengths 6.299, 6.299, 6.299 Å; angles 102.71, 102.71, 124.06 degrees
Fractional positions:
In 0.121 0.125 0.496
In 0.375 0.879 0.004
In 0.629 0.625 0.504
In 0.875 0.371 0.996
W 0.000 0.000 0.000
W 0.750 0.250 0.500
Se 0.250 0.750 0.500
Se 0.500 0.500 0.000

(5)
First-principles (PBE-GGA) data for crystalline LiSiSbO5 at its relaxed geometry, as listed in Alexandria.

Results
Formation energy from raw total energies   -202.0 kJ/mol of atoms
Symmetry   C2/c (15)

Cell lengths 5.486, 5.486, 7.332 Å; angles 108.74, 108.74, 96.11 degrees
Fractional positions:
Li 0.178 0.822 0.750
Li 0.822 0.178 0.250
Si 0.151 0.849 0.250
Si 0.849 0.151 0.750
Sb 0.500 0.500 0.000
Sb 0.500 0.500 0.500
O 0.174 0.206 0.860
O 0.206 0.174 0.360
O 0.236 0.711 0.421
O 0.289 0.764 0.079
O 0.413 0.587 0.750
O 0.587 0.413 0.250
O 0.711 0.236 0.921
O 0.764 0.289 0.579
O 0.794 0.826 0.640
O 0.826 0.794 0.140

(6)
First-principles (PBE-GGA) data for crystalline Pm2Ga3Au2 at its relaxed geometry, as listed in Alexandria.

Results
Symmetry   C2/m (12)
Energy of formation   -15.35 kcal/mol of atoms
Polymorph energy (0 for the lowest one)   10 meV/atom

Cell lengths 5.804, 5.804, 6.737 Å; angles 110.43, 110.43, 45.33 degrees
Fractional positions:
Pm 0.149 0.149 0.277
Pm 0.851 0.851 0.723
Ga 0.405 0.405 0.074
Ga 0.500 0.500 0.500
Ga 0.595 0.595 0.926
Au 0.155 0.155 0.753
Au 0.845 0.845 0.247

(7)
First-principles (PBE-GGA) data for crystalline Gd3Pb at its relaxed geometry, as listed in Alexandria.

Results
Symmetry   I4/mmm (139)
Energy of formation   -7.20 kcal/mol of atoms

Cell lengths 6.222, 6.222, 6.222 Å; angles 134.88, 134.88, 65.72 degrees
Fractional positions:
Gd 0.000 0.000 0.000
Gd 0.250 0.750 0.500
Gd 0.750 0.250 0.500
Pb 0.500 0.500 0.000

(8)
First-principles (PBE-GGA) data for crystalline Ni2HgIr at its relaxed geometry, as listed in Alexandria.

Results
Symmetry   I4/mmm (139)
Energy of formation   7.36 kcal/mol of atoms

Cell lengths 4.573, 4.573, 4.573 Å; angles 128.47, 128.47, 75.86 degrees
Fractional positions:
Ni 0.250 0.750 0.500
Ni 0.750 0.250 0.500
Hg 0.000 0.000 0.000
Ir 0.500 0.500 0.000

(9)
First-principles (PBE-GGA) data for crystalline ErZn2SiPd4 at its relaxed geometry, as listed in Alexandria.

Results
Formation energy from raw total energies   -62.3 kJ/mol of atoms
Symmetry   R-3m (166)

Cell lengths 7.714, 7.714, 7.714 Å; angles 33.94, 33.94, 33.94 degrees
Fractional positions:
Er 0.000 0.000 0.000
Zn 0.256 0.256 0.256
Zn 0.744 0.744 0.744
Si 0.500 0.500 0.500
Pd 0.134 0.134 0.134
Pd 0.391 0.391 0.391
Pd 0.609 0.609 0.609
Pd 0.866 0.866 0.866

(10)
First-principles (PBE-GGA) data for crystalline Ga2PdRh2 at its relaxed geometry, as listed in Alexandria.

Results
Symmetry   P-3m1 (164)
Energy of formation   -11.25 kcal/mol of atoms
Polymorph energy (0 for the lowest one)   44 meV/atom

Cell lengths 4.199, 4.199, 5.131 Å; angles 90.00, 90.00, 120.00 degrees
Fractional positions:
Ga 0.333 0.667 0.193
Ga 0.667 0.333 0.807
Pd 0.000 0.000 0.000
Rh 0.333 0.667 0.677
Rh 0.667 0.333 0.323

(11)
First-principles (PBE-GGA) data for crystalline Sr2ErGe3Ir4 at its relaxed geometry, as listed in Alexandria.

Results
Symmetry   P-4m2 (115)
Energy of formation   -14.91 kcal/mol of atoms

Cell lengths 4.271, 4.271, 11.187 Å; angles 90.00, 90.00, 90.00 degrees
Fractional positions:
Sr 0.000 0.500 0.234
Sr 0.500 0.000 0.766
Er 0.000 0.000 0.500
Ge 0.000 0.500 0.881
Ge 0.500 0.000 0.119
Ge 0.500 0.500 0.500
Ir 0.000 0.000 0.000
Ir 0.000 0.500 0.650
Ir 0.500 0.000 0.350
Ir 0.500 0.500 0.000

(12)
First-principles (PBE-GGA) data for crystalline CeTm3Ir2 at its relaxed geometry, as listed in Alexandria.

Results
Symmetry   Ibam (72)
Energy of formation   -15.38 kcal/mol of atoms

Cell lengths 8.310, 8.310, 8.310 Å; angles 131.93, 71.48, 130.50 degrees
Fractional positions:
Ce 0.000 0.000 0.000
Ce 0.500 0.500 0.000
Tm 0.006 0.250 0.756
Tm 0.250 0.750 0.500
Tm 0.494 0.250 0.244
Tm 0.506 0.750 0.756
Tm 0.750 0.250 0.500
Tm 0.994 0.750 0.244
Ir 0.133 0.728 0.861
Ir 0.367 0.228 0.595
Ir 0.633 0.772 0.405
Ir 0.867 0.272 0.139

(13)
First-principles (PBE-GGA) data for crystalline TaPSCl2 at its relaxed geometry, as listed in Alexandria.

Results
Formation energy from raw total energies   111.6 kJ/mol of atoms
Symmetry   P4/mmm (123)
Polymorph energy (0 for the lowest one)   1084 meV/atom

Cell lengths 4.606, 4.606, 4.742 Å; angles 90.00, 90.00, 90.00 degrees
Fractional positions:
Ta 0.000 0.000 0.000
P 0.500 0.500 0.000
S 0.500 0.500 0.500
Cl 0.000 0.500 0.500
Cl 0.500 0.000 0.500

(14)
First-principles (PBE-GGA) data for crystalline Na3H7Ir at its relaxed geometry, as listed in Alexandria.

Results
Symmetry   Cm (8)

Cell lengths 5.017, 5.017, 5.395 Å; angles 104.23, 104.23, 95.26 degrees
Fractional positions:
Na 0.000 0.000 0.000
Na 0.295 0.743 0.502
Na 0.743 0.295 0.502
H 0.195 0.613 0.877
H 0.245 0.245 0.716
H 0.347 0.347 0.186
H 0.536 0.801 0.186
H 0.613 0.195 0.877
H 0.638 0.638 0.791
H 0.801 0.536 0.186
Ir 0.484 0.484 0.977

(15)
First-principles (PBE-GGA) data for crystalline Al3V12Ge at its relaxed geometry, as listed in Alexandria.

Results
Symmetry   Pmmm (47)
Energy of formation   -4.32 kcal/mol of atoms

Cell lengths 4.748, 4.748, 9.760 Å; angles 90.00, 90.00, 90.00 degrees
Fractional positions:
Al 0.000 0.000 0.000
Al 0.500 0.500 0.251
Al 0.500 0.500 0.749
V 0.000 0.500 0.125
V 0.000 0.500 0.375
V 0.000 0.500 0.625
V 0.000 0.500 0.875
V 0.239 0.000 0.252
V 0.239 0.000 0.748
V 0.500 0.258 0.500
V 0.500 0.262 0.000
V 0.500 0.738 0.000
V 0.500 0.742 0.500
V 0.761 0.000 0.252
V 0.761 0.000 0.748
Ge 0.000 0.000 0.500

(16)
First-principles (PBE-GGA) data for crystalline Ba2Te2I at its relaxed geometry, as listed in Alexandria.

Results
Formation energy from raw total energies   -128.0 kJ/mol of atoms
Symmetry   P4/mbm (127)
Polymorph energy (0 for the lowest one)   149 meV/atom

Cell lengths 9.618, 9.618, 4.460 Å; angles 90.00, 90.00, 90.00 degrees
Fractional positions:
Ba 0.159 0.341 0.000
Ba 0.341 0.841 0.000
Ba 0.659 0.159 0.000
Ba 0.841 0.659 0.000
Te 0.143 0.643 0.500
Te 0.357 0.143 0.500
Te 0.643 0.857 0.500
Te 0.857 0.357 0.500
I 0.000 0.000 0.500
I 0.500 0.500 0.500

(17)
First-principles (PBE-GGA) data for crystalline U2InPd8 at its relaxed geometry, as listed in Alexandria.

Results
Symmetry   Immm (71)
Energy of formation   -8.65 kcal/mol of atoms
Polymorph energy (0 for the lowest one)   0 meV/atom

Cell lengths 7.613, 7.613, 7.613 Å; angles 148.94, 115.38, 73.43 degrees
Fractional positions:
U 0.158 0.158 0.000
U 0.842 0.842 0.000
In 0.500 0.500 0.000
Pd 0.087 0.339 0.748
Pd 0.254 0.000 0.254
Pd 0.322 0.822 0.500
Pd 0.409 0.661 0.748
Pd 0.591 0.339 0.252
Pd 0.678 0.178 0.500
Pd 0.746 0.000 0.746
Pd 0.913 0.661 0.252

(18)
First-principles (PBE-GGA) data for crystalline LiMnH3 at its relaxed geometry, as listed in Alexandria.

Results
Symmetry   Pmmn (59)

Cell lengths 2.807, 4.457, 5.486 Å; angles 90.00, 90.00, 90.00 degrees
Fractional positions:
Li 0.250 0.250 0.114
Li 0.750 0.750 0.886
Mn 0.250 0.750 0.408
Mn 0.750 0.250 0.592
H 0.250 0.010 0.651
H 0.250 0.490 0.651
H 0.250 0.750 0.097
H 0.750 0.250 0.903
H 0.750 0.510 0.349
H 0.750 0.990 0.349

(19)
First-principles (PBE-GGA) data for crystalline KTbF5 at its relaxed geometry, as listed in Alexandria.

Results
Formation energy from raw total energies   -303.2 kJ/mol of atoms
Symmetry   C2/c (15)

Cell lengths 8.658, 8.658, 6.158 Å; angles 91.16, 91.16, 150.21 degrees
Fractional positions:
K 0.179 0.821 0.750
K 0.821 0.179 0.250
Tb 0.430 0.570 0.750
Tb 0.570 0.430 0.250
F 0.100 0.900 0.250
F 0.244 0.324 0.400
F 0.311 0.662 0.975
F 0.324 0.244 0.900
F 0.338 0.689 0.525
F 0.662 0.311 0.475
F 0.676 0.756 0.100
F 0.689 0.338 0.025
F 0.756 0.676 0.600
F 0.900 0.100 0.750

(20)
First-principles (PBE-GGA) data for crystalline CuSI2N at its relaxed geometry, as listed in Alexandria.

Results
Formation energy from raw total energies   105.0 kJ/mol of atoms
Symmetry   P4/mmm (123)
Polymorph energy (0 for the lowest one)   115 meV/atom

Cell lengths 5.545, 5.545, 3.656 Å; angles 90.00, 90.00, 90.00 degrees
Fractional positions:
Cu 0.000 0.000 0.000
S 0.500 0.500 0.500
I 0.000 0.500 0.000
I 0.500 0.000 0.000
N 0.000 0.000 0.500

Total energy: -6.428 -5.222 -4.553 -4.644 -6.624 -4.257 -11.800 -4.862 -4.809 -5.678 -6.369 -6.845 -3.860 -3.475 -8.017 -3.662 -6.453 -4.412 -5.297 -2.842 (eV per atom)
Magnetic moment: 0.00 0.00 0.49 4.46 0.00 0.00 22.95 1.36 0.00 0.00 0.00 1.16 2.27 0.00 0.00 0.00 3.75 5.35 2.04 1.76 (μB per cell)